Entry 1:
RbAs2Pt, optimized geometry, DFT GGA-PBE; D(E_F) = 1.23 states/eV per cell; space group = P4/mmm (123); ΔE_f = -0.113 eV/atom
1.0
-3.365 1.081 0.693
-1.134 -3.414 -0.181
1.229 -0.790 7.201
As Rb Pt
2 1 1
Cartesian
1.033 -0.664 6.051
0.196 -0.126 1.150
-1.635 -1.562 3.856
-2.249 -1.166 0.256

Entry 2:
BaFe2Ru, optimized geometry, DFT GGA-PBE; D(E_F) = 4.83 states/eV per cell; space group = Pmmm (47); ΔE_f = 1.109 eV/atom
1.0
3.383 0.000 0.000
0.000 4.618 0.000
0.000 0.000 4.750
Ba Fe Ru
1 2 1
Cartesian
0.000 2.309 2.375
0.000 0.000 0.000
1.692 2.309 0.000
1.692 0.000 2.375

Entry 3:
IrPd2Se, optimized geometry, DFT GGA-PBE; D(E_F) = 7.22 states/eV per cell; space group = I-42d (122); energy relative to the elements, uncorrected = 266 meV/atom
1.0
7.195 0.000 0.000
0.000 7.195 0.000
3.597 3.597 2.558
Ir Se Pd
2 2 4
Cartesian
0.000 0.000 0.000
7.195 3.597 1.279
3.597 3.597 0.000
3.597 7.195 1.279
5.214 1.799 0.640
1.981 5.396 0.640
5.396 5.579 1.919
8.994 8.811 1.919

Entry 4:
BeHgAs, optimized geometry, DFT GGA-PBE; D(E_F) = 2.18 states/eV per cell; space group = F-43m (216); ΔE_f = 0.681 eV/atom
1.0
4.430 0.000 0.000
2.215 3.837 0.000
2.215 1.279 3.617
Be As Hg
1 1 1
Cartesian
4.430 2.558 1.809
0.000 0.000 0.000
6.645 3.837 2.713

Entry 5:
Tb4PmY2Tm2, optimized geometry, DFT GGA-PBE; D(E_F) = 12.43 states/eV per cell; space group = C2/m (12); ΔE_f = 0.004 eV/atom
1.0
-1.251 2.615 2.116
-3.466 -7.668 4.383
8.934 2.349 2.382
Tb Pm Y Tm
4 1 2 2
Cartesian
2.745 -1.135 6.070
1.471 -1.570 2.810
2.207 1.858 2.053
2.010 -4.563 6.828
0.000 0.000 0.000
-0.540 -2.389 5.677
4.757 -0.316 3.204
6.202 -1.878 5.990
-1.985 -0.826 2.891

Entry 6:
SrSiAg, optimized geometry, DFT GGA-PBE; D(E_F) = 4.21 states/eV per cell; space group = I-4m2 (119); energy relative to the elements, uncorrected = -329 meV/atom
1.0
-3.066 0.292 3.251
-3.105 -1.637 -2.781
4.806 -6.432 2.025
Sr Si Ag
2 2 2
Cartesian
-0.692 -4.370 -0.260
-3.085 -0.672 0.235
-1.628 -6.691 2.150
0.263 -1.086 0.345
-0.357 -4.707 3.170
-0.988 -2.105 2.342

Entry 7:
Tb6SmPu, optimized geometry, DFT GGA-PBE; D(E_F) = 15.49 states/eV per cell; space group = C2/m (12); ΔE_f = 0.397 eV/atom
1.0
5.185 0.740 -2.912
0.108 5.236 -2.912
-0.639 -0.722 10.967
Tb Sm Pu
6 1 1
Cartesian
4.274 2.319 -0.275
1.786 4.523 -0.275
2.868 0.732 5.418
0.380 2.935 5.418
3.676 4.150 -3.369
0.978 1.104 8.511
2.327 2.627 2.571
0.000 0.000 0.000

Entry 8:
AlCd3Ir, optimized geometry, DFT GGA-PBE; D(E_F) = 4.55 states/eV per cell; space group = Pm-3m (221); ΔE_f = 1.146 eV/atom
1.0
-4.120 2.666 0.681
-2.341 -4.040 1.657
1.447 1.056 4.619
Ir Al Cd
1 1 3
Cartesian
-2.507 -0.159 3.479
0.000 0.000 0.000
-1.170 -2.020 0.828
0.724 0.528 2.310
-2.060 1.333 0.341

> What is the D(E_F) in the fourth record?

2.18 states/eV per cell

Copy entry 2 word for word.
BaFe2Ru, optimized geometry, DFT GGA-PBE; D(E_F) = 4.83 states/eV per cell; space group = Pmmm (47); ΔE_f = 1.109 eV/atom
1.0
3.383 0.000 0.000
0.000 4.618 0.000
0.000 0.000 4.750
Ba Fe Ru
1 2 1
Cartesian
0.000 2.309 2.375
0.000 0.000 0.000
1.692 2.309 0.000
1.692 0.000 2.375